Cr2TcW: optimized geometry, PBE.

The space group is Cmm2 (No. 35) and the conventional cell measures 3.0173, 4.3455 and 8.3592 Å, with angles of 90.00, 90.00 and 90.00 degrees. The distinct sites, in fractional coordinates, are Cr at (0.0000, 0.0000, 0.0000), Cr at (0.0000, 0.5000, 0.2238), Tc at (0.0000, 0.5000, 0.7528) and W at (0.0000, 0.0000, 0.4792).

The calculation puts the total magnetization at 0.00 μB per formula unit. The calculation puts the formation enthalpy at 0 K at 121 meV/atom. As for the calculated total energy: -10.52 eV per atom. As for the offset from the most stable computed form: 72 meV/atom.